## Tl3In3Sn5 (PBE)

Data for an optimized crystal structure of Tl3In3Sn5.

abc: 9.4578 9.4578 4.8700
angles: 90.00 90.00 120.00
Space group P-62m (No. 189)
Asymmetric unit:
Tl 0.0000 0.4073 0.0000 x3
In 0.0000 0.1965 0.5000 x3
Sn 0.0000 0.6249 0.5000 x3
Sn 0.3333 0.6667 0.5000 x2

Formation enthalpy at 0 K   0.19 eV per atom
Crystal system   hexagonal



## NdSiAg2Se4 (PBE)

Data for an optimized crystal structure of NdSiAg2Se4.

abc: 7.7213 8.3590 11.5852
angles: 90.00 90.00 90.00
Space group Imma (No. 74)
Asymmetric unit:
Nd 0.0000 0.0000 0.0000 x4
Si 0.2500 0.2500 0.2500 x4
Ag 0.0000 0.0000 0.5000 x4
Ag 0.2500 0.2500 0.7500 x4
Se 0.0000 0.0257 0.2538 x8
Se 0.2392 0.2500 0.4792 x8

ΔE_f (raw)   -0.56 eV/atom
Crystal system   orthorhombic